1.
A plane-wave DFT calculation with PBE was carried out for a relaxed NdTm2PuBi4 crystal. Values from VASP.

Geometry as Quantum ESPRESSO input:
```
&SYSTEM
  ibrav = 0, nat = 8, ntyp = 4
/
ATOMIC_SPECIES
Nd 144.24 Nd.upf
Tm 168.93 Tm.upf
Pu 244.00 Pu.upf
Bi 208.98 Bi.upf
ATOMIC_POSITIONS crystal
Nd 0.0000 0.0000 0.0000
Tm 0.5000 0.0000 0.5000
Tm 0.5000 0.5000 0.0000
Pu 0.0000 0.5000 0.5000
Bi 0.2586 0.0000 0.7505
Bi 0.2603 0.5000 0.2559
Bi 0.7397 0.5000 0.7441
Bi 0.7414 0.0000 0.2495
CELL_PARAMETERS angstrom
7.7964 0.0000 0.0000
0.0000 4.5089 0.0000
-2.6014 0.0000 7.3681
```

Output
magnetization	5.169	μB per formula unit
N(E_F)	2.22	states/eV per atom
energy relative to the elements	-703	meV/atom
space-group type	No. 10

---

2.
A plane-wave DFT calculation with PBE was carried out for a relaxed HoGaCoRu crystal. Values from VASP.

Geometry as Quantum ESPRESSO input:
```
&SYSTEM
  ibrav = 0, nat = 4, ntyp = 4
/
ATOMIC_SPECIES
Ho 164.93 Ho.upf
Ga 69.72 Ga.upf
Co 58.93 Co.upf
Ru 101.07 Ru.upf
ATOMIC_POSITIONS crystal
Ho 0.0000 0.0000 0.0000
Ga 0.5000 0.5000 0.5000
Co 0.2500 0.2500 0.2500
Ru 0.7500 0.7500 0.7500
CELL_PARAMETERS angstrom
0.0000 3.1555 3.1555
3.1555 0.0000 3.1555
3.1555 3.1555 0.0000
```

Output
magnetization	0.000	μB per formula unit
N(E_F)	1.30	states/eV per atom
energy relative to the elements	-253	meV/atom
space-group type	No. 216

---

3.
A plane-wave DFT calculation with PBE was carried out for a relaxed CrFe2Tc crystal. Values from VASP.

Geometry as Quantum ESPRESSO input:
```
&SYSTEM
  ibrav = 0, nat = 4, ntyp = 3
/
ATOMIC_SPECIES
Cr 52.00 Cr.upf
Fe 55.84 Fe.upf
Tc 98.00 Tc.upf
ATOMIC_POSITIONS crystal
Cr 0.0000 0.0000 0.0000
Fe 0.0000 0.5000 0.5000
Fe 0.5000 0.0000 0.5000
Tc 0.5000 0.5000 0.0000
CELL_PARAMETERS angstrom
4.1083 0.0000 0.0000
0.0000 4.1083 0.0000
0.0000 0.0000 2.9691
```

Output
magnetization	4.174	μB per formula unit
N(E_F)	1.40	states/eV per atom
energy relative to the elements	191	meV/atom
space-group type	No. 123